Here is Nd2WN3 after structural relaxation from the Alexandria database. Energies are from PBE. Values from VASP.

```
&SYSTEM
  ibrav = 0, nat = 6, ntyp = 3
/
ATOMIC_SPECIES
N 14.01 N.upf
Nd 144.24 Nd.upf
W 183.84 W.upf
ATOMIC_POSITIONS angstrom
N 1.770 1.998 4.406
Nd 1.770 1.998 1.910
N 0.000 1.998 0.000
Nd 0.000 0.000 4.532
N 0.000 0.000 2.036
W 0.000 0.000 0.000
CELL_PARAMETERS angstrom
3.540 0.000 0.000
0.000 3.996 0.000
-1.770 -1.998 6.442
```

Summary:
DOS at the Fermi energy   0.385 states/eV/atom
Calculated volume   15.19 Å³ per atom
ΔE_f (raw)   -1.097 eV per atom